# 1
NaTe2SeI: optimized geometry, GGA-PBE.

It has space group P4/mmm (No. 123), with a = 5.6250 Å, b = 5.6250 Å, c = 5.4680 Å, α = 90.00°, β = 90.00° and γ = 90.00°. The asymmetric unit holds Na at (0.0000, 0.0000, 0.0000), Te at (0.0000, 0.5000, 0.0000), Se at (0.5000, 0.5000, 0.5000) and I at (0.0000, 0.0000, 0.5000).

The formation energy without anion corrections is 310 kJ/mol of formula units. The total magnetic moment is 0.690 μB per formula unit. The raw total energy is -9.426 eV per formula unit.

***

# 2
Na6TeSeI2: optimized geometry, GGA-PBE.

It has space group C2/m (No. 12), with a = 13.5772 Å, b = 7.9085 Å, c = 7.9342 Å, α = 90.00°, β = 124.65° and γ = 90.00°. The asymmetric unit holds Na at (0.0731, 0.2448, 0.3343), Na at (0.2389, 0.0000, 0.8616), Te at (0.0000, 0.5000, 0.0000), Se at (0.0000, 0.0000, 0.5000) and I at (0.2492, 0.5000, 0.7226).

The formation energy without anion corrections is -1010 kJ/mol of formula units. The total magnetic moment is 0.065 μB per formula unit. The raw total energy is -28.109 eV per formula unit.

***

# 3
Na2TlSeI: optimized geometry, GGA-PBE.

It has space group P4/mmm (No. 123), with a = 5.4680 Å, b = 5.4680 Å, c = 6.3251 Å, α = 90.00°, β = 90.00° and γ = 90.00°. The asymmetric unit holds Na at (0.0000, 0.5000, 0.0000), Tl at (0.0000, 0.0000, 0.5000), Se at (0.0000, 0.0000, 0.0000) and I at (0.5000, 0.5000, 0.5000).

The formation energy without anion corrections is -388 kJ/mol of formula units. The total magnetic moment is 0.000 μB per formula unit. The raw total energy is -14.065 eV per formula unit.

***

# 4
NaVSe2I: optimized geometry, GGA-PBE.

It has space group P4/mmm (No. 123), with a = 4.8950 Å, b = 4.8950 Å, c = 6.3932 Å, α = 90.00°, β = 90.00° and γ = 90.00°. The asymmetric unit holds Na at (0.0000, 0.0000, 0.0000), V at (0.0000, 0.0000, 0.5000), Se at (0.0000, 0.5000, 0.0000) and I at (0.5000, 0.5000, 0.5000).

The formation energy without anion corrections is 516 kJ/mol of formula units. The total magnetic moment is 0.076 μB per formula unit. The raw total energy is -13.613 eV per formula unit.